[1]
First-principles (PBE) data for an optimized crystal structure of CaCoW2, as listed in the Alexandria database.

Unit cell a=4.544 b=4.544 c=4.544 alpha=60.00 beta=60.00 gamma=60.00
Atoms (fractional coordinates):
1 Ca 0.000 0.000 0.000
2 Co 0.750 0.750 0.750
3 W 0.250 0.250 0.250
4 W 0.500 0.500 0.500

Relative energy among the computed polymorphs = 98 kJ/mol of formula units
Energy of formation = 736 meV per atom
VASP energy = -8.02 eV/atom

[2]
First-principles (PBE) data for an optimized crystal structure of Pu2PaO8, as listed in the Alexandria database.

Unit cell a=5.935 b=5.935 c=4.543 alpha=97.52 beta=97.52 gamma=115.68
Atoms (fractional coordinates):
1 Pu 0.170 0.830 0.000
2 Pu 0.830 0.170 0.000
3 Pa 0.500 0.500 0.500
4 O 0.129 0.129 0.298
5 O 0.149 0.419 0.905
6 O 0.301 0.699 0.500
7 O 0.419 0.149 0.905
8 O 0.581 0.851 0.095
9 O 0.699 0.301 0.500
10 O 0.851 0.581 0.095
11 O 0.871 0.871 0.702

Uncorrected formation energy = -2.6568 eV/atom
Relative energy among the computed polymorphs = 231 kJ/mol of formula units
VASP energy = -9.73 eV/atom

[3]
First-principles (PBE) data for an optimized crystal structure of TaGaTc3, as listed in the Alexandria database.

Unit cell a=4.466 b=4.466 c=4.466 alpha=90.00 beta=90.00 gamma=90.00
Atoms (fractional coordinates):
1 Ta 0.000 0.000 0.000
2 Ga 0.500 0.500 0.500
3 Tc 0.000 0.500 0.500
4 Tc 0.500 0.000 0.500
5 Tc 0.500 0.500 0.000

Relative energy among the computed polymorphs = 0 kJ/mol of formula units
Energy of formation = 1216 meV per atom
VASP energy = -7.98 eV/atom

[4]
First-principles (PBE) data for an optimized crystal structure of LaPmSm2Dy4, as listed in the Alexandria database.

Unit cell a=7.232 b=7.232 c=11.623 alpha=90.00 beta=90.02 gamma=119.92
Atoms (fractional coordinates):
1 La 0.000 0.000 0.000
2 La 0.500 0.500 0.000
3 Pm 0.000 0.000 0.500
4 Pm 0.000 0.500 0.000
5 Sm 0.000 0.500 0.500
6 Sm 0.500 0.000 0.000
7 Sm 0.500 0.000 0.500
8 Sm 0.500 0.500 0.500
9 Dy 0.167 0.333 0.251
10 Dy 0.167 0.833 0.252
11 Dy 0.333 0.167 0.749
12 Dy 0.333 0.667 0.749
13 Dy 0.667 0.333 0.251
14 Dy 0.667 0.833 0.251
15 Dy 0.833 0.167 0.748
16 Dy 0.833 0.667 0.749

Energy of formation = 0 meV per atom
VASP energy = -4.69 eV/atom

[5]
First-principles (PBE) data for an optimized crystal structure of NdHo2Sc3, as listed in the Alexandria database.

Unit cell a=5.967 b=3.451 c=16.632 alpha=90.00 beta=96.85 gamma=90.00
Atoms (fractional coordinates):
1 Nd 0.028 0.250 0.332
2 Nd 0.972 0.750 0.668
3 Ho 0.250 0.250 0.000
4 Ho 0.474 0.250 0.667
5 Ho 0.526 0.750 0.333
6 Ho 0.750 0.750 0.000
7 Sc 0.139 0.750 0.164
8 Sc 0.253 0.750 0.501
9 Sc 0.363 0.750 0.835
10 Sc 0.637 0.250 0.165
11 Sc 0.747 0.250 0.499
12 Sc 0.861 0.250 0.836

Energy of formation = 73 meV per atom
VASP energy = -5.41 eV/atom

[6]
First-principles (PBE) data for an optimized crystal structure of LiMgNpN3, as listed in the Alexandria database.

Unit cell a=6.563 b=3.113 c=7.196 alpha=90.00 beta=100.39 gamma=90.00
Atoms (fractional coordinates):
1 Li 0.133 0.250 0.091
2 Li 0.867 0.750 0.909
3 Mg 0.351 0.750 0.366
4 Mg 0.649 0.250 0.634
5 Np 0.184 0.250 0.702
6 Np 0.816 0.750 0.298
7 N 0.124 0.250 0.391
8 N 0.175 0.750 0.915
9 N 0.419 0.750 0.665
10 N 0.581 0.250 0.335
11 N 0.825 0.250 0.085
12 N 0.876 0.750 0.609

Uncorrected formation energy = -0.6330 eV/atom
VASP energy = -7.54 eV/atom

- Look up the VASP energy of the sixth one.
  -7.54 eV/atom

- Which of these has the lowest VASP energy?
  Pu2PaO8

Copy entry 4 word for word.
First-principles (PBE) data for an optimized crystal structure of LaPmSm2Dy4, as listed in the Alexandria database.

Unit cell a=7.232 b=7.232 c=11.623 alpha=90.00 beta=90.02 gamma=119.92
Atoms (fractional coordinates):
1 La 0.000 0.000 0.000
2 La 0.500 0.500 0.000
3 Pm 0.000 0.000 0.500
4 Pm 0.000 0.500 0.000
5 Sm 0.000 0.500 0.500
6 Sm 0.500 0.000 0.000
7 Sm 0.500 0.000 0.500
8 Sm 0.500 0.500 0.500
9 Dy 0.167 0.333 0.251
10 Dy 0.167 0.833 0.252
11 Dy 0.333 0.167 0.749
12 Dy 0.333 0.667 0.749
13 Dy 0.667 0.333 0.251
14 Dy 0.667 0.833 0.251
15 Dy 0.833 0.167 0.748
16 Dy 0.833 0.667 0.749

Energy of formation = 0 meV per atom
VASP energy = -4.69 eV/atom